[1]
LiCo3Au | PBE | relaxed

```
data_LiCo3Au
_chemical_formula_sum 'Li1 Co3 Au1'
_cell_length_a 3.973
_cell_length_b 3.973
_cell_length_c 3.973
_cell_angle_alpha 90.00
_cell_angle_beta 90.00
_cell_angle_gamma 90.00
_symmetry_space_group_name_H-M 'P m -3 m'
_symmetry_Int_Tables_number 221
_symmetry_space_group_name_Hall '-P 4 2 3'
loop_
_atom_site_label
_atom_site_type_symbol
_atom_site_fract_x
_atom_site_fract_y
_atom_site_fract_z
_atom_site_occupancy
Li1 Li 0.000 0.000 0.000 1
Co1 Co 0.000 0.000 0.500 1
Au1 Au 0.500 0.500 0.500 1
```

## Properties
Its formation energy is 0.851 eV per atom. The spin magnetization is 4.74 μB/f.u. The energy above the lowest structure with this stoichiometry comes out at 0 meV/atom.

***

[2]
LiCo2Au | PBE | relaxed

```
data_LiCo2Au
_chemical_formula_sum 'Li2 Co4 Au2'
_cell_length_a 3.858
_cell_length_b 3.858
_cell_length_c 6.958
_cell_angle_alpha 90.00
_cell_angle_beta 90.00
_cell_angle_gamma 90.00
_symmetry_space_group_name_H-M 'I -4 m 2'
_symmetry_Int_Tables_number 119
_symmetry_space_group_name_Hall 'I -4 -2'
loop_
_atom_site_label
_atom_site_type_symbol
_atom_site_fract_x
_atom_site_fract_y
_atom_site_fract_z
_atom_site_occupancy
Li1 Li 0.000 0.000 0.000 1
Co1 Co 0.000 0.000 0.500 1
Co2 Co 0.000 0.500 0.250 1
Au1 Au 0.000 0.500 0.750 1
```

## Properties
Its formation energy is 0.082 eV per atom. The spin magnetization is 3.34 μB/f.u.

***

[3]
Li2CoAu | PBE | relaxed

```
data_Li2CoAu
_chemical_formula_sum 'Li2 Co1 Au1'
_cell_length_a 2.751
_cell_length_b 2.751
_cell_length_c 8.121
_cell_angle_alpha 90.00
_cell_angle_beta 90.00
_cell_angle_gamma 90.00
_symmetry_space_group_name_H-M 'P 4 m m'
_symmetry_Int_Tables_number 99
loop_
_symmetry_equiv_pos_as_xyz
'x,y,z'
'-y,x,z'
'-x,-y,z'
'y,-x,z'
'-x,y,z'
'y,x,z'
'x,-y,z'
'-y,-x,z'
loop_
_atom_site_label
_atom_site_type_symbol
_atom_site_fract_x
_atom_site_fract_y
_atom_site_fract_z
_atom_site_occupancy
Li1 Li 0.000 0.000 0.000 1
Li2 Li 0.500 0.500 0.305 1
Co1 Co 0.500 0.500 0.778 1
Au1 Au 0.000 0.000 0.539 1
```

## Properties
Its formation energy is 0.045 eV per atom. The spin magnetization is 1.71 μB/f.u.

***

[4]
Li2CoAu | PBE | relaxed

```
data_Li2CoAu
_chemical_formula_sum 'Li2 Co1 Au1'
_cell_length_a 2.749
_cell_length_b 4.489
_cell_length_c 4.559
_cell_angle_alpha 90.00
_cell_angle_beta 90.00
_cell_angle_gamma 90.00
_symmetry_space_group_name_H-M 'P m m 2'
_symmetry_Int_Tables_number 25
loop_
_symmetry_equiv_pos_as_xyz
'x,y,z'
'-x,-y,z'
'-x,y,z'
'x,-y,z'
loop_
_atom_site_label
_atom_site_type_symbol
_atom_site_fract_x
_atom_site_fract_y
_atom_site_fract_z
_atom_site_occupancy
Li1 Li 0.000 0.000 0.000 1
Li2 Li 0.500 0.500 0.133 1
Co1 Co 0.500 0.000 0.513 1
Au1 Au 0.000 0.500 0.624 1
```

## Properties
Its formation energy is -0.049 eV per atom. The spin magnetization is 1.47 μB/f.u.

***

[5]
LiCo2Au | PBE | relaxed

```
data_LiCo2Au
_chemical_formula_sum 'Li3 Co6 Au3'
_cell_length_a 2.6628
_cell_length_b 2.6628
_cell_length_c 27.1217
_cell_angle_alpha 90.00
_cell_angle_beta 90.00
_cell_angle_gamma 120.00
_symmetry_space_group_name_H-M 'R -3 m'
_symmetry_Int_Tables_number 166
_symmetry_space_group_name_Hall '-R 3 2"'
loop_
_atom_site_label
_atom_site_type_symbol
_atom_site_fract_x
_atom_site_fract_y
_atom_site_fract_z
_atom_site_occupancy
Li1 Li 0.0000 0.0000 0.0000 1
Co1 Co 0.0000 0.0000 0.2530 1
Au1 Au 0.0000 0.0000 0.5000 1
```

## Properties
Its formation energy is 0.317 eV per atom. The spin magnetization is 2.96 μB/f.u.

***

[6]
LiCo2Au | PBE | relaxed

```
data_LiCo2Au
_chemical_formula_sum 'Li4 Co8 Au4'
_cell_length_a 3.442
_cell_length_b 3.442
_cell_length_c 18.680
_cell_angle_alpha 90.00
_cell_angle_beta 90.00
_cell_angle_gamma 90.00
_symmetry_space_group_name_H-M 'I -4 2 d'
_symmetry_Int_Tables_number 122
_symmetry_space_group_name_Hall 'I -4 2bw'
loop_
_atom_site_label
_atom_site_type_symbol
_atom_site_fract_x
_atom_site_fract_y
_atom_site_fract_z
_atom_site_occupancy
Li1 Li 0.000 0.000 0.000 1
Co1 Co 0.243 0.250 0.125 1
Au1 Au 0.000 0.000 0.500 1
```

## Properties
Its formation energy is 0.276 eV per atom. The spin magnetization is 3.53 μB/f.u.

***

[7]
LiCo2Au | PBE | relaxed

```
data_LiCo2Au
_chemical_formula_sum 'Li1 Co2 Au1'
_cell_length_a 2.640
_cell_length_b 2.640
_cell_length_c 7.956
_cell_angle_alpha 90.00
_cell_angle_beta 90.00
_cell_angle_gamma 90.00
_symmetry_space_group_name_H-M 'P 4/m m m'
_symmetry_Int_Tables_number 123
_symmetry_space_group_name_Hall '-P 4 2'
loop_
_atom_site_label
_atom_site_type_symbol
_atom_site_fract_x
_atom_site_fract_y
_atom_site_fract_z
_atom_site_occupancy
Li1 Li 0.000 0.000 0.000 1
Co1 Co 0.500 0.500 0.244 1
Au1 Au 0.000 0.000 0.500 1
```

## Properties
Its formation energy is 0.346 eV per atom. The spin magnetization is 3.38 μB/f.u.

***

[8]
LiCo2Au | PBE | relaxed

```
data_LiCo2Au
_chemical_formula_sum 'Li1 Co2 Au1'
_cell_length_a 2.705
_cell_length_b 3.499
_cell_length_c 5.532
_cell_angle_alpha 90.00
_cell_angle_beta 90.00
_cell_angle_gamma 90.00
_symmetry_space_group_name_H-M 'P m m 2'
_symmetry_Int_Tables_number 25
loop_
_symmetry_equiv_pos_as_xyz
'x,y,z'
'-x,-y,z'
'-x,y,z'
'x,-y,z'
loop_
_atom_site_label
_atom_site_type_symbol
_atom_site_fract_x
_atom_site_fract_y
_atom_site_fract_z
_atom_site_occupancy
Li1 Li 0.000 0.000 0.000 1
Co1 Co 0.000 0.000 0.551 1
Co2 Co 0.500 0.500 0.732 1
Au1 Au 0.500 0.500 0.245 1
```

## Properties
Its formation energy is 0.039 eV per atom. The spin magnetization is 3.28 μB/f.u.